# AlRuPb2

Crystalline AlRuPb2 at its relaxed geometry (PBE, Alexandria).

V (Å³/atom): 22.6
Calculated total energy (eV/atom): -5.147
Formation energy from the elements (eV per atom): -0.038
Symmetry: No. 99

Unit cell a=3.253 b=3.253 c=8.540 alpha=90.00 beta=90.00 gamma=90.00
Fractional coordinates of all 4 atoms:
Pb1 0.000 0.000 0.945
Pb2 0.500 0.500 0.321
Ru1 0.000 0.000 0.557
Al1 0.500 0.500 0.677



# SmDy3Y8

Crystalline SmDy3Y8 at its relaxed geometry (PBE, Alexandria).

V (Å³/atom): 36.0
Calculated total energy (eV/atom): -5.190
Formation energy from the elements (eV per atom): 0.663
Symmetry: No. 121

Unit cell a=8.390 b=8.390 c=8.390 alpha=94.32 beta=117.54 gamma=117.54
Fractional coordinates of all 12 atoms:
Sm1 0.000 0.000 0.000
Dy1 0.500 0.750 0.250
Dy2 0.500 0.250 0.750
Dy3 0.000 0.500 0.500
Y1 0.507 0.260 0.260
Y2 0.493 0.753 0.753
Y3 0.000 0.740 0.247
Y4 0.000 0.247 0.740
Y5 0.253 0.379 0.379
Y6 0.747 0.126 0.126
Y7 0.000 0.621 0.874
Y8 0.000 0.874 0.621



# TlCdFeGe2

Crystalline TlCdFeGe2 at its relaxed geometry (PBE, Alexandria).

V (Å³/atom): 21.8
Calculated total energy (eV/atom): -4.052
Formation energy from the elements (eV per atom): 0.143
Symmetry: No. 123

Unit cell a=4.564 b=4.564 c=5.230 alpha=90.00 beta=90.00 gamma=90.00
Fractional coordinates of all 5 atoms:
Fe1 0.000 0.000 0.000
Tl1 0.500 0.500 0.500
Ge1 0.000 0.500 0.000
Ge2 0.500 0.000 0.000
Cd1 0.000 0.000 0.500